[1]
DFT (PBE) results for crystalline ZnSn2I2 at its relaxed geometry.

Unit cell a=7.6666 b=7.6666 c=5.4153 alpha=90.00 beta=90.00 gamma=90.00
Fractional coordinates of all 10 atoms:
Zn 0.0000 0.0000 0.0000
Zn 0.5000 0.5000 0.0000
Sn 0.1602 0.3398 0.0000
Sn 0.3398 0.8398 0.0000
Sn 0.6602 0.1602 0.0000
Sn 0.8398 0.6602 0.0000
I 0.1919 0.6919 0.5000
I 0.3081 0.1919 0.5000
I 0.6919 0.8081 0.5000
I 0.8081 0.3081 0.5000

Computed properties:
Electronic total energy: -2.51 eV/atom
E_form (uncorrected): -17 kJ/mol of formula units

=====

[2]
DFT (PBE) results for crystalline ZnSn3I at its relaxed geometry.

Unit cell a=5.3862 b=5.3862 c=5.3862 alpha=90.00 beta=90.00 gamma=90.00
Fractional coordinates of all 5 atoms:
Zn 0.0000 0.0000 0.0000
Sn 0.0000 0.0000 0.5000
Sn 0.0000 0.5000 0.0000
Sn 0.5000 0.0000 0.0000
I 0.5000 0.5000 0.5000

Computed properties:
Electronic total energy: -2.65 eV/atom
E_form (uncorrected): 154 kJ/mol of formula units

=====

[3]
DFT (PBE) results for crystalline ZnSn3I at its relaxed geometry.

Unit cell a=5.9181 b=5.9181 c=5.9181 alpha=90.00 beta=90.00 gamma=90.00
Fractional coordinates of all 5 atoms:
Zn 0.0000 0.0000 0.0000
Sn 0.0000 0.5000 0.5000
Sn 0.5000 0.0000 0.5000
Sn 0.5000 0.5000 0.0000
I 0.5000 0.5000 0.5000

Computed properties:
Electronic total energy: -2.02 eV/atom
E_form (uncorrected): 456 kJ/mol of formula units